# 1
Density functional theory data (GGA-PBE) for a relaxed Zn4Ag2Au crystal.

Summary:
Formation energy from the elements   -0.437 eV per formula unit
VASP energy   -2.073 eV per atom
Size of the total moment   0.00 μB per formula unit
Polymorph energy (0 for the lowest one)   0.00 eV per formula unit

a = 6.3731 Å, b = 8.6447 Å, c = 4.3997 Å
α = 90.00°, β = 90.00°, γ = 90.00°
Space group Cmmm (No. 65)
Unique sites:
Zn  0.2072  0.0000  0.0000 (multiplicity 4)
Zn  0.2500  0.2500  0.5000 (multiplicity 4)
Ag  0.0000  0.2695  0.0000 (multiplicity 4)
Au  0.0000  0.5000  0.5000 (multiplicity 2)

---

# 2
Density functional theory data (GGA-PBE) for a relaxed ZnAg6Au crystal.

Summary:
Formation energy from the elements   0.482 eV per formula unit
VASP energy   -2.647 eV per atom
Size of the total moment   0.00 μB per formula unit
Polymorph energy (0 for the lowest one)   0.60 eV per formula unit

a = 5.2622 Å, b = 5.2898 Å, c = 5.3212 Å
α = 93.53°, β = 95.00°, γ = 92.64°
Space group P-1 (No. 2)
Unique sites:
Zn  0.0000  0.0000  0.0000 (multiplicity 1)
Ag  0.0353  0.4405  0.7498 (multiplicity 2)
Ag  0.2520  0.9629  0.5617 (multiplicity 2)
Ag  0.4401  0.7493  0.0370 (multiplicity 2)
Au  0.5000  0.5000  0.5000 (multiplicity 1)

---

# 3
Density functional theory data (GGA-PBE) for a relaxed Zn12Ag7Au crystal.

Summary:
Formation energy from the elements   5.117 eV per formula unit
VASP energy   -1.670 eV per atom
Size of the total moment   0.00 μB per formula unit

a = 9.5159 Å, b = 9.5159 Å, c = 9.5159 Å
α = 90.00°, β = 90.00°, γ = 90.00°
Space group Im-3 (No. 204)
Unique sites:
Zn  0.0000  0.2604  0.1403 (multiplicity 24)
Ag  0.0000  0.0000  0.5000 (multiplicity 6)
Ag  0.2500  0.2500  0.2500 (multiplicity 8)
Au  0.0000  0.0000  0.0000 (multiplicity 2)

---

# 4
Density functional theory data (GGA-PBE) for a relaxed Zn5AgAu3 crystal.

Summary:
Formation energy from the elements   -1.423 eV per formula unit
VASP energy   -2.275 eV per atom
Size of the total moment   0.00 μB per formula unit

a = 7.8790 Å, b = 7.8790 Å, c = 5.4542 Å
α = 90.00°, β = 90.00°, γ = 120.00°
Space group P6_3/mcm (No. 193)
Unique sites:
Zn  0.0000  0.3067  0.2500 (multiplicity 6)
Zn  0.3333  0.6667  0.0000 (multiplicity 4)
Ag  0.0000  0.0000  0.0000 (multiplicity 2)
Au  0.0000  0.3632  0.7500 (multiplicity 6)

---

# 5
Density functional theory data (GGA-PBE) for a relaxed Zn6AgAu3 crystal.

Summary:
Formation energy from the elements   -0.747 eV per formula unit
VASP energy   -2.107 eV per atom
Size of the total moment   0.00 μB per formula unit
Polymorph energy (0 for the lowest one)   0.74 eV per formula unit

a = 8.8079 Å, b = 14.9531 Å, c = 5.3017 Å
α = 90.00°, β = 90.00°, γ = 90.00°
Space group Cmc2_1 (No. 36)
Unique sites:
Zn  0.0000  0.0072  0.0000 (multiplicity 4)
Zn  0.0000  0.2526  0.8383 (multiplicity 4)
Zn  0.1604  0.4598  0.8342 (multiplicity 8)
Zn  0.2387  0.2724  0.5587 (multiplicity 8)
Ag  0.0000  0.1735  0.2959 (multiplicity 4)
Au  0.0000  0.3847  0.4731 (multiplicity 4)
Au  0.1908  0.1073  0.7159 (multiplicity 8)

---

# 6
Density functional theory data (GGA-PBE) for a relaxed ZnAg5Au6 crystal.

Summary:
Formation energy from the elements   -0.512 eV per formula unit
VASP energy   -2.975 eV per atom
Size of the total moment   0.00 μB per formula unit
Polymorph energy (0 for the lowest one)   0.28 eV per formula unit

a = 9.6451 Å, b = 8.8784 Å, c = 5.0552 Å
α = 90.00°, β = 100.79°, γ = 90.00°
Space group C2/m (No. 12)
Unique sites:
Zn  0.0000  0.0000  0.0000 (multiplicity 2)
Ag  0.0000  0.1658  0.5000 (multiplicity 4)
Ag  0.0000  0.3322  0.0000 (multiplicity 4)
Ag  0.0000  0.5000  0.5000 (multiplicity 2)
Au  0.2458  0.1643  0.2505 (multiplicity 8)
Au  0.2469  0.0000  0.7570 (multiplicity 4)

---

# 7
Density functional theory data (GGA-PBE) for a relaxed Zn5Ag2Au2 crystal.

Summary:
Formation energy from the elements   -0.736 eV per formula unit
VASP energy   -2.151 eV per atom
Size of the total moment   0.00 μB per formula unit
Polymorph energy (0 for the lowest one)   0.00 eV per formula unit

a = 15.9114 Å, b = 5.0422 Å, c = 7.4062 Å
α = 90.00°, β = 90.00°, γ = 90.00°
Space group Ima2 (No. 46)
Unique sites:
Zn  0.0831  0.0911  0.0000 (multiplicity 8)
Zn  0.1680  0.0070  0.3230 (multiplicity 8)
Zn  0.2500  0.0975  0.6467 (multiplicity 4)
Ag  0.0899  0.5779  0.1542 (multiplicity 8)
Au  0.0000  0.0000  0.3150 (multiplicity 4)
Au  0.2500  0.5928  0.4934 (multiplicity 4)

---

# 8
Density functional theory data (GGA-PBE) for a relaxed Zn2Ag6Au crystal.

Summary:
Formation energy from the elements   0.180 eV per formula unit
VASP energy   -2.528 eV per atom
Size of the total moment   0.00 μB per formula unit
Polymorph energy (0 for the lowest one)   0.53 eV per formula unit

a = 6.6608 Å, b = 13.1019 Å, c = 3.8130 Å
α = 90.00°, β = 105.83°, γ = 90.00°
Space group C2/m (No. 12)
Unique sites:
Zn  0.0000  0.1538  0.0000 (multiplicity 4)
Ag  0.1655  0.5000  0.8267 (multiplicity 4)
Ag  0.1708  0.3370  0.3174 (multiplicity 8)
Au  0.0000  0.0000  0.5000 (multiplicity 2)

---

# 9
Density functional theory data (GGA-PBE) for a relaxed Zn2Ag3Au crystal.

Summary:
Formation energy from the elements   -0.160 eV per formula unit
VASP energy   -2.423 eV per atom
Size of the total moment   0.00 μB per formula unit
Polymorph energy (0 for the lowest one)   0.09 eV per formula unit

a = 14.3805 Å, b = 2.9432 Å, c = 11.0586 Å
α = 90.00°, β = 117.20°, γ = 90.00°
Space group C2/m (No. 12)
Unique sites:
Zn  0.1384  0.0000  0.4604 (multiplicity 4)
Zn  0.1834  0.5000  0.8859 (multiplicity 4)
Ag  0.0433  0.5000  0.2178 (multiplicity 4)
Ag  0.1055  0.0000  0.0285 (multiplicity 4)
Ag  0.2422  0.0000  0.3116 (multiplicity 4)
Au  0.0713  0.0000  0.6547 (multiplicity 4)

---

# 10
Density functional theory data (GGA-PBE) for a relaxed Zn3Ag2Au crystal.

Summary:
Formation energy from the elements   -0.088 eV per formula unit
VASP energy   -2.148 eV per atom
Size of the total moment   0.00 μB per formula unit
Polymorph energy (0 for the lowest one)   0.37 eV per formula unit

a = 5.4510 Å, b = 13.7084 Å, c = 5.5337 Å
α = 90.00°, β = 96.30°, γ = 90.00°
Space group C2/c (No. 15)
Unique sites:
Zn  0.0000  0.0698  0.2500 (multiplicity 4)
Zn  0.2476  0.4028  0.2231 (multiplicity 8)
Ag  0.0013  0.2434  0.4991 (multiplicity 8)
Au  0.0000  0.4309  0.7500 (multiplicity 4)

---

# 11
Density functional theory data (GGA-PBE) for a relaxed ZnAg8Au2 crystal.

Summary:
Formation energy from the elements   -0.186 eV per formula unit
VASP energy   -2.802 eV per atom
Size of the total moment   0.00 μB per formula unit
Polymorph energy (0 for the lowest one)   0.00 eV per formula unit

a = 14.8953 Å, b = 4.1266 Å, c = 6.5195 Å
α = 90.00°, β = 104.88°, γ = 90.00°
Space group C2/m (No. 12)
Unique sites:
Zn  0.0000  0.0000  0.0000 (multiplicity 2)
Ag  0.0451  0.5000  0.7309 (multiplicity 4)
Ag  0.0894  0.0000  0.4476 (multiplicity 4)
Ag  0.1345  0.5000  0.1785 (multiplicity 4)
Ag  0.1802  0.0000  0.9099 (multiplicity 4)
Au  0.2256  0.5000  0.6358 (multiplicity 4)

---

# 12
Density functional theory data (GGA-PBE) for a relaxed Zn3AgAu crystal.

Summary:
Formation energy from the elements   -0.332 eV per formula unit
VASP energy   -2.056 eV per atom
Size of the total moment   0.00 μB per formula unit
Polymorph energy (0 for the lowest one)   0.10 eV per formula unit

a = 5.1848 Å, b = 13.2874 Å, c = 4.9410 Å
α = 90.00°, β = 90.00°, γ = 90.00°
Space group Cmcm (No. 63)
Unique sites:
Zn  0.0000  0.0000  0.0000 (multiplicity 4)
Zn  0.2444  0.3493  0.2500 (multiplicity 8)
Ag  0.0000  0.4426  0.7500 (multiplicity 4)
Au  0.0000  0.1790  0.2500 (multiplicity 4)

---

# 13
Density functional theory data (GGA-PBE) for a relaxed ZnAgAu4 crystal.

Summary:
Formation energy from the elements   -0.497 eV per formula unit
VASP energy   -2.955 eV per atom
Size of the total moment   0.00 μB per formula unit
Polymorph energy (0 for the lowest one)   0.00 eV per formula unit

a = 4.9959 Å, b = 8.9182 Å, c = 4.9773 Å
α = 90.00°, β = 109.00°, γ = 90.00°
Space group C2/m (No. 12)
Unique sites:
Zn  0.0000  0.0000  0.0000 (multiplicity 2)
Ag  0.0000  0.5000  0.5000 (multiplicity 2)
Au  0.0000  0.1612  0.5000 (multiplicity 4)
Au  0.0000  0.3350  0.0000 (multiplicity 4)

---

# 14
Density functional theory data (GGA-PBE) for a relaxed Zn2AgAu7 crystal.

Summary:
Formation energy from the elements   0.837 eV per formula unit
VASP energy   -2.750 eV per atom
Size of the total moment   0.00 μB per formula unit
Polymorph energy (0 for the lowest one)   1.54 eV per formula unit

a = 7.4392 Å, b = 13.2190 Å, c = 4.4672 Å
α = 90.00°, β = 90.00°, γ = 90.00°
Space group Cmmm (No. 65)
Unique sites:
Zn  0.0000  0.1993  0.0000 (multiplicity 4)
Ag  0.0000  0.5000  0.5000 (multiplicity 2)
Au  0.0000  0.0000  0.0000 (multiplicity 2)
Au  0.0000  0.2927  0.5000 (multiplicity 4)
Au  0.1870  0.3889  0.0000 (multiplicity 8)

---

# 15
Density functional theory data (GGA-PBE) for a relaxed ZnAgAu crystal.

Summary:
Formation energy from the elements   -0.322 eV per formula unit
VASP energy   -2.575 eV per atom
Size of the total moment   0.00 μB per formula unit
Polymorph energy (0 for the lowest one)   0.03 eV per formula unit

a = 4.5015 Å, b = 4.5015 Å, c = 2.9257 Å
α = 90.00°, β = 90.00°, γ = 120.00°
Space group P3m1 (No. 156)
Unique sites:
Zn  0.0000  0.0000  0.0000 (multiplicity 1)
Ag  0.6667  0.3333  0.4518 (multiplicity 1)
Au  0.3333  0.6667  0.9395 (multiplicity 1)

---

# 16
Density functional theory data (GGA-PBE) for a relaxed Zn2Ag5Au6 crystal.

Summary:
Formation energy from the elements   -0.207 eV per formula unit
VASP energy   -2.821 eV per atom
Size of the total moment   0.00 μB per formula unit

a = 9.0019 Å, b = 18.0519 Å, c = 2.8786 Å
α = 90.00°, β = 90.00°, γ = 90.00°
Space group Pbam (No. 55)
Unique sites:
Zn  0.1578  0.2217  0.0000 (multiplicity 4)
Ag  0.0000  0.5000  0.5000 (multiplicity 2)
Ag  0.0908  0.7543  0.5000 (multiplicity 4)
Ag  0.1729  0.0138  0.5000 (multiplicity 4)
Au  0.0422  0.8913  0.0000 (multiplicity 4)
Au  0.1353  0.6175  0.0000 (multiplicity 4)
Au  0.1621  0.3590  0.5000 (multiplicity 4)

---

# 17
Density functional theory data (GGA-PBE) for a relaxed ZnAg2Au6 crystal.

Summary:
Formation energy from the elements   -0.155 eV per formula unit
VASP energy   -2.977 eV per atom
Size of the total moment   0.00 μB per formula unit
Polymorph energy (0 for the lowest one)   0.46 eV per formula unit

a = 4.8355 Å, b = 7.8819 Å, c = 8.6191 Å
α = 90.00°, β = 90.00°, γ = 90.00°
Space group Immm (No. 71)
Unique sites:
Zn  0.0000  0.0000  0.0000 (multiplicity 2)
Ag  0.0000  0.0000  0.3338 (multiplicity 4)
Au  0.0000  0.3094  0.1640 (multiplicity 8)
Au  0.0000  0.3228  0.5000 (multiplicity 4)

---

# 18
Density functional theory data (GGA-PBE) for a relaxed Zn2Ag5Au2 crystal.

Summary:
Formation energy from the elements   0.752 eV per formula unit
VASP energy   -2.512 eV per atom
Size of the total moment   0.00 μB per formula unit

a = 13.5948 Å, b = 7.0103 Å, c = 6.9560 Å
α = 90.00°, β = 90.00°, γ = 90.00°
Space group Cmce (No. 64)
Unique sites:
Zn  0.0000  0.1281  0.1292 (multiplicity 8)
Ag  0.0000  0.0000  0.5000 (multiplicity 4)
Ag  0.1275  0.1726  0.8293 (multiplicity 16)
Au  0.2116  0.0000  0.5000 (multiplicity 8)

---

# 19
Density functional theory data (GGA-PBE) for a relaxed ZnAg5Au4 crystal.

Summary:
Formation energy from the elements   0.452 eV per formula unit
VASP energy   -2.819 eV per atom
Size of the total moment   0.00 μB per formula unit
Polymorph energy (0 for the lowest one)   1.09 eV per formula unit

a = 8.4430 Å, b = 9.2931 Å, c = 5.0755 Å
α = 90.00°, β = 90.00°, γ = 90.00°
Space group Pmmn (No. 59, origin choice 2)
Unique sites:
Zn  0.2500  0.2500  0.0186 (multiplicity 2)
Ag  0.0853  0.0142  0.2637 (multiplicity 8)
Ag  0.2500  0.7500  0.4542 (multiplicity 2)
Au  0.0733  0.7500  0.9656 (multiplicity 4)
Au  0.2500  0.0058  0.7613 (multiplicity 4)

---

# 20
Density functional theory data (GGA-PBE) for a relaxed ZnAgAu3 crystal.

Summary:
Formation energy from the elements   4.004 eV per formula unit
VASP energy   -1.991 eV per atom
Size of the total moment   0.00 μB per formula unit
Polymorph energy (0 for the lowest one)   4.61 eV per formula unit

a = 5.1134 Å, b = 5.1134 Å, c = 5.1134 Å
α = 90.00°, β = 90.00°, γ = 90.00°
Space group Pm-3m (No. 221)
Unique sites:
Zn  0.0000  0.0000  0.0000 (multiplicity 1)
Ag  0.5000  0.5000  0.5000 (multiplicity 1)
Au  0.0000  0.5000  0.5000 (multiplicity 3)